# 1
First-principles (PBE) data for a geometry-optimized Sm7Ir2Se2 structure, as listed in OQMD.

Lattice parameters (Å, degrees): 9.341 9.341 9.341 155.47 66.23 119.56
Positions (direct):
Sm (0.981, 0.481, 0.500)
Se (0.648, 0.148, 0.500)
Se (0.237, 0.237, 0.000)
Sm (0.518, 0.895, 0.623)
Sm (0.595, 0.737, 0.858)
Sm (0.878, 0.737, 0.142)
Ir (0.665, 0.406, 0.259)
Sm (0.922, 0.103, 0.819)
Sm (0.272, 0.895, 0.377)
Ir (0.147, 0.406, 0.741)
Sm (0.284, 0.103, 0.181)

volume: 26.5 Å³/atom
symmetry: No. 44
raw total energy: -6.2253 eV per atom

# 2
First-principles (PBE) data for a geometry-optimized Ni21Sn2P6 structure, as listed in OQMD.

Lattice parameters (Å, degrees): 7.844 7.844 7.844 120.00 90.00 120.00
Positions (direct):
Ni (0.652, 0.000, 0.000)
Ni (0.000, 0.000, 0.652)
Ni (0.348, 0.348, 0.000)
Ni (0.652, 0.652, 0.000)
Ni (0.348, 0.348, 0.348)
P (0.738, 0.476, 0.738)
Ni (0.000, 0.652, 0.652)
Ni (0.000, 0.000, 0.348)
Ni (0.000, 0.000, 0.000)
P (0.738, 0.000, 0.262)
Ni (0.000, 0.348, 0.000)
Ni (0.348, 0.000, 0.000)
Ni (0.652, 0.652, 0.652)
Ni (0.384, 0.768, 0.616)
Ni (0.616, 0.232, 0.849)
P (0.262, 0.000, 0.262)
Sn (0.750, 0.500, 0.250)
Ni (0.849, 0.232, 0.616)
P (0.262, 0.000, 0.738)
Ni (0.384, 0.768, 0.151)
Ni (0.000, 0.652, 0.000)
Ni (0.616, 0.232, 0.384)
P (0.262, 0.524, 0.262)
Ni (0.616, 0.768, 0.384)
Ni (0.000, 0.348, 0.348)
Ni (0.384, 0.232, 0.616)
P (0.738, 0.000, 0.738)
Ni (0.151, 0.768, 0.384)
Sn (0.250, 0.500, 0.750)

volume: 11.8 Å³/atom
symmetry: No. 225
raw total energy: -5.8542 eV per atom